Entry 1:
Here is an optimized crystal structure of CsKH4Pd from Alexandria via LeMat-Bulk. Energies are from PBE.

abc: 5.664 5.634 7.783
angles: 90.00 111.34 90.00
Positions (direct):
H: 0.000 0.500 0.500
H: 0.500 0.000 0.500
H: 0.500 0.500 0.500
H: 0.000 0.000 0.500
H: 0.134 0.750 0.268
H: 0.866 0.250 0.732
H: 0.369 0.750 0.738
H: 0.631 0.250 0.262
K: 0.629 0.750 0.259
K: 0.371 0.250 0.741
Pd: 0.251 0.750 0.502
Pd: 0.749 0.250 0.498
Cs: 0.905 0.750 0.810
Cs: 0.095 0.250 0.190

## Properties
Magnetization, μB/cell: 0.0
Uncorrected energy, eV per atom: -3.108
DOS at the Fermi energy, states/eV per cell: 0.38

Entry 2:
Here is an optimized crystal structure of Cs3KH8Pd2 from Alexandria via LeMat-Bulk. Energies are from PBE.

abc: 6.701 6.701 8.073
angles: 90.00 90.00 120.00
Positions (direct):
H: 0.667 0.333 0.888
H: 0.367 0.183 0.715
H: 0.817 0.633 0.715
H: 0.183 0.367 0.285
H: 0.817 0.183 0.715
H: 0.633 0.817 0.285
H: 0.183 0.817 0.285
H: 0.333 0.667 0.112
Cs: 0.667 0.333 0.317
Cs: 0.000 0.000 0.000
Cs: 0.333 0.667 0.683
K: 0.000 0.000 0.500
Pd: 0.667 0.333 0.701
Pd: 0.333 0.667 0.299

## Properties
Magnetization, μB/cell: 0.0
Uncorrected energy, eV per atom: -2.918
DOS at the Fermi energy, states/eV per cell: 1.68

Entry 3:
Here is an optimized crystal structure of Cs2KH6Pd from Alexandria via LeMat-Bulk. Energies are from PBE.

abc: 6.687 6.396 6.396
angles: 120.00 90.00 90.00
Last column: magnetic moment on the atom in μB.
Positions (direct):
Cs: 0.839 0.667 0.333  0.02
Cs: 0.161 0.333 0.667  0.02
H: 0.855 0.753 0.876  0.01
H: 0.855 0.124 0.876  0.01
H: 0.145 0.247 0.124  0.01
H: 0.855 0.124 0.247  0.01
H: 0.145 0.876 0.753  0.01
H: 0.145 0.876 0.124  0.01
Pd: 0.000 0.000 0.000  0.09
K: 0.500 0.000 0.000  0.01

## Properties
Magnetization, μB/cell: 0.8
Uncorrected energy, eV per atom: -2.986
DOS at the Fermi energy, states/eV per cell: 3.35

Entry 4:
Here is an optimized crystal structure of Cs2KH4Pd from Alexandria via LeMat-Bulk. Energies are from PBE.

abc: 5.834 7.681 12.372
angles: 84.86 76.36 67.68
Positions (direct):
Cs: 0.173 0.000 0.654
Cs: 0.577 0.500 0.846
Cs: 0.923 0.500 0.154
Cs: 0.827 0.000 0.346
H: 0.650 0.837 0.901
H: 0.237 0.663 0.401
H: 0.100 0.663 0.599
H: 0.301 0.337 0.599
H: 0.388 0.163 0.099
H: 0.449 0.163 0.901
H: 0.513 0.837 0.099
H: 0.362 0.337 0.401
K: 0.750 0.500 0.500
K: 0.000 0.000 0.000
Pd: 0.500 0.000 0.000
Pd: 0.250 0.500 0.500

## Properties
Magnetization, μB/cell: 0.0
Uncorrected energy, eV per atom: -2.765
DOS at the Fermi energy, states/eV per cell: 4.11

Among the records above, which one has the highest magnetization?
Cs2KH6Pd

What did the second record say?
Here is an optimized crystal structure of Cs3KH8Pd2 from Alexandria via LeMat-Bulk. Energies are from PBE.

abc: 6.701 6.701 8.073
angles: 90.00 90.00 120.00
Positions (direct):
H: 0.667 0.333 0.888
H: 0.367 0.183 0.715
H: 0.817 0.633 0.715
H: 0.183 0.367 0.285
H: 0.817 0.183 0.715
H: 0.633 0.817 0.285
H: 0.183 0.817 0.285
H: 0.333 0.667 0.112
Cs: 0.667 0.333 0.317
Cs: 0.000 0.000 0.000
Cs: 0.333 0.667 0.683
K: 0.000 0.000 0.500
Pd: 0.667 0.333 0.701
Pd: 0.333 0.667 0.299

## Properties
Magnetization, μB/cell: 0.0
Uncorrected energy, eV per atom: -2.918
DOS at the Fermi energy, states/eV per cell: 1.68

Which formula does entry 1 have?
CsKH4Pd

Please write out number 4 again, unchanged.
Here is an optimized crystal structure of Cs2KH4Pd from Alexandria via LeMat-Bulk. Energies are from PBE.

abc: 5.834 7.681 12.372
angles: 84.86 76.36 67.68
Positions (direct):
Cs: 0.173 0.000 0.654
Cs: 0.577 0.500 0.846
Cs: 0.923 0.500 0.154
Cs: 0.827 0.000 0.346
H: 0.650 0.837 0.901
H: 0.237 0.663 0.401
H: 0.100 0.663 0.599
H: 0.301 0.337 0.599
H: 0.388 0.163 0.099
H: 0.449 0.163 0.901
H: 0.513 0.837 0.099
H: 0.362 0.337 0.401
K: 0.750 0.500 0.500
K: 0.000 0.000 0.000
Pd: 0.500 0.000 0.000
Pd: 0.250 0.500 0.500

## Properties
Magnetization, μB/cell: 0.0
Uncorrected energy, eV per atom: -2.765
DOS at the Fermi energy, states/eV per cell: 4.11